No. 1
A plane-wave DFT calculation with PBE was carried out for a relaxed structure of K2NbI.

Lattice parameters (Å, degrees): 12.4665 12.4665 5.6267 90.00 90.00 90.00
With the nearest neighbours (Å) after each atom.
Space group I-42d (No. 122)
Inequivalent atoms, fractional coordinates:
K (0.1105, 0.2500, 0.1250) [8 per cell]  2 I 3.48
Nb (0.0000, 0.0000, 0.5000) [4 per cell]  2 I 2.81
I (0.0000, 0.0000, 0.0000) [4 per cell]  2 Nb 2.81

Computed properties:
Formation energy (no corrections)   14.21 kcal/mol of atoms
Polymorph energy (0 for the lowest one)   0.000 eV per atom


No. 2
A plane-wave DFT calculation with PBE was carried out for a relaxed structure of Zr2Co3Si5.

Lattice parameters (Å, degrees): 9.3566 10.7680 5.5029 90.00 90.00 90.00
With the nearest neighbours (Å) after each atom.
Space group Ibam (No. 72)
Inequivalent atoms, fractional coordinates:
Zr (0.2306, 0.1364, 0.0000) [8 per cell]  10 Si 2.73-3.03, 3 Co 2.85-2.98
Co (0.0000, 0.5000, 0.2500) [4 per cell]  6 Si 2.31-2.45
Co (0.1096, 0.1380, 0.5000) [8 per cell]  5 Si 2.18-2.27
Si (0.0000, 0.0000, 0.2500) [4 per cell]  4 Co 2.27
Si (0.0000, 0.2729, 0.2500) [8 per cell]  3 Co 2.25-2.45, 2 Si 2.46
Si (0.1617, 0.4004, 0.0000) [8 per cell]  3 Co 2.18-2.31

Computed properties:
Formation energy (no corrections)   -17.35 kcal/mol of atoms


No. 3
A plane-wave DFT calculation with PBE was carried out for a relaxed structure of Dy2Ho2In5.

Lattice parameters (Å, degrees): 14.3036 7.0420 10.0105 90.00 90.00 90.00
With the nearest neighbours (Å) after each atom.
Space group Ima2 (No. 46)
Inequivalent atoms, fractional coordinates:
Dy (0.1275, 0.0296, 0.0000) [8 per cell]  5 In 3.12-3.41
Ho (0.0000, 0.0000, 0.5636) [4 per cell]  6 In 3.10-3.21
Ho (0.2500, 0.5090, 0.9392) [4 per cell]  4 In 3.11-3.21
In (0.0494, 0.1880, 0.2869) [8 per cell]  3 In 2.99-3.07, 2 Dy 3.12-3.28, 2 Ho 3.15-3.21
In (0.1498, 0.7159, 0.2272) [8 per cell]  3 In 2.87-3.21, 2 Ho 3.10-3.21, 1 Dy 3.19
In (0.2500, 0.1918, 0.7162) [4 per cell]  4 In 3.07-3.21, 2 Ho 3.11-3.16, 2 Dy 3.41

Computed properties:
Formation enthalpy at 0 K   -0.2458 eV/atom


Number 1: density of states at the Fermi level 4.8 states/eV per cell. Number 2: density of states at the Fermi level 15.4 states/eV per cell. Number 3: density of states at the Fermi level 29.9 states/eV per cell.